Record 1
A PBEsol-optimized structure of ZnTcBi3, computed with SCAN.

Properties
ΔE_f: 0.71 eV/atom
DOS at the Fermi energy: 3.34 states/eV per cell
Energy above the most stable polymorph in this dataset: 0.000 eV per atom
Total DFT energy (no corrections): -280.75 eV/cell
Space-group type: Pm-3m, No. 221

Cell: 5.2422 5.2422 5.2422 Å, 90.00 90.00 90.00°
Last column: nearest neighbours and their distance in Å.
Fractional coordinates of all 5 atoms:
1 Zn 0.0000 0.0000 0.0000  12 Bi 3.71
2 Tc 0.5000 0.5000 0.5000  6 Bi 2.62
3 Bi 0.0000 0.5000 0.5000  2 Tc 2.62
4 Bi 0.5000 0.0000 0.5000  2 Tc 2.62
5 Bi 0.5000 0.5000 0.0000  2 Tc 2.62



Record 2
A PBEsol-optimized structure of Zn3TcBi, computed with SCAN.

Properties
ΔE_f: 0.81 eV/atom
DOS at the Fermi energy: 3.42 states/eV per cell
Total DFT energy (no corrections): -150.16 eV/cell
Space-group type: Pm-3m, No. 221

Cell: 4.7441 4.7441 4.7441 Å, 90.00 90.00 90.00°
Last column: nearest neighbours and their distance in Å.
Fractional coordinates of all 5 atoms:
1 Zn 0.0000 0.0000 0.5000  2 Tc 2.37
2 Zn 0.0000 0.5000 0.0000  2 Tc 2.37
3 Zn 0.5000 0.0000 0.0000  2 Tc 2.37
4 Tc 0.0000 0.0000 0.0000  6 Zn 2.37
5 Bi 0.5000 0.5000 0.5000  12 Zn 3.35



Record 3
A PBEsol-optimized structure of ZnTcBi3, computed with SCAN.

Properties
ΔE_f: 1.22 eV/atom
DOS at the Fermi energy: 3.99 states/eV per cell
Energy above the most stable polymorph in this dataset: 0.503 eV per atom
Total DFT energy (no corrections): -278.23 eV/cell
Space-group type: Pm-3m, No. 221

Cell: 5.2140 5.2140 5.2140 Å, 90.00 90.00 90.00°
Last column: nearest neighbours and their distance in Å.
Fractional coordinates of all 5 atoms:
1 Zn 0.0000 0.0000 0.0000  6 Bi 2.61
2 Tc 0.5000 0.5000 0.5000  12 Bi 3.69
3 Bi 0.0000 0.0000 0.5000  2 Zn 2.61
4 Bi 0.0000 0.5000 0.0000  2 Zn 2.61
5 Bi 0.5000 0.0000 0.0000  2 Zn 2.61



Record 4
A PBEsol-optimized structure of Bi2Te3, computed with SCAN.

Properties
Total DFT energy (no corrections): -809.25 eV/cell
Space-group type: R-3m, No. 166

Cell: 4.3825 4.3825 30.2860 Å, 90.00 90.00 120.00°
Last column: nearest neighbours and their distance in Å.
Fractional coordinates of all 15 atoms:
1 Bi 0.0000 0.0000 0.1002  6 Te 3.06-3.23
2 Bi 0.0000 0.0000 0.8998  6 Te 3.06-3.23
3 Bi 0.3333 0.6667 0.5665  6 Te 3.06-3.23
4 Bi 0.3333 0.6667 0.7669  6 Te 3.06-3.23
5 Bi 0.6667 0.3333 0.2331  6 Te 3.06-3.23
6 Bi 0.6667 0.3333 0.4335  6 Te 3.06-3.23
7 Te 0.0000 0.0000 0.2902  3 Bi 3.06
8 Te 0.0000 0.0000 0.5000  6 Bi 3.23
9 Te 0.0000 0.0000 0.7098  3 Bi 3.06
10 Te 0.3333 0.6667 0.1667  6 Bi 3.23
11 Te 0.3333 0.6667 0.3765  3 Bi 3.06
12 Te 0.3333 0.6667 0.9568  3 Bi 3.06
13 Te 0.6667 0.3333 0.0432  3 Bi 3.06
14 Te 0.6667 0.3333 0.6235  3 Bi 3.06
15 Te 0.6667 0.3333 0.8333  6 Bi 3.23



Record 5
A PBEsol-optimized structure of Bi4Te3, computed with SCAN.

Properties
DOS at the Fermi energy: 0.22 states/eV per cell
Total DFT energy (no corrections): -426.91 eV/cell
Space-group type: R-3m, No. 166

Cell: 14.0459 14.0459 14.0459 Å, 18.19 18.19 18.19°
Last column: nearest neighbours and their distance in Å.
Fractional coordinates of all 7 atoms:
1 Bi 0.1465 0.1465 0.1465  3 Bi 3.06
2 Bi 0.2858 0.2858 0.2858  6 Te 3.08-3.23
3 Bi 0.7142 0.7142 0.7142  6 Te 3.08-3.23
4 Bi 0.8535 0.8535 0.8535  3 Bi 3.06
5 Te 0.0000 0.0000 0.0000  6 Bi 3.23
6 Te 0.4221 0.4221 0.4221  3 Bi 3.08
7 Te 0.5779 0.5779 0.5779  3 Bi 3.08



Record 6
A PBEsol-optimized structure of Bi8Te9, computed with SCAN.

Properties
DOS at the Fermi energy: 0.50 states/eV per cell
Total DFT energy (no corrections): -966.39 eV/cell
Space-group type: R-3m, No. 166

Cell: 34.1068 34.1068 34.1068 Å, 7.41 7.41 7.41°
Last column: nearest neighbours and their distance in Å.
Fractional coordinates of all 17 atoms:
1 Bi 0.0880 0.0880 0.0880  6 Te 3.07-3.24
2 Bi 0.1471 0.1471 0.1471  6 Te 3.07-3.24
3 Bi 0.3251 0.3251 0.3251  3 Bi 3.05
4 Bi 0.3822 0.3822 0.3822  6 Te 3.08-3.23
5 Bi 0.6178 0.6178 0.6178  6 Te 3.08-3.23
6 Bi 0.6749 0.6749 0.6749  3 Bi 3.05
7 Bi 0.8529 0.8529 0.8529  6 Te 3.07-3.24
8 Bi 0.9120 0.9120 0.9120  6 Te 3.07-3.24
9 Te 0.0319 0.0319 0.0319  3 Bi 3.08
10 Te 0.2031 0.2031 0.2031  3 Bi 3.07
11 Te 0.2650 0.2650 0.2650  6 Bi 3.23-3.24
12 Te 0.4381 0.4381 0.4381  3 Bi 3.07
13 Te 0.5000 0.5000 0.5000  6 Bi 3.24
14 Te 0.5619 0.5619 0.5619  3 Bi 3.07
15 Te 0.7350 0.7350 0.7350  6 Bi 3.23-3.24
16 Te 0.7969 0.7969 0.7969  3 Bi 3.07
17 Te 0.9681 0.9681 0.9681  3 Bi 3.08



Record 7
A PBEsol-optimized structure of Bi8Te7, computed with SCAN.

Properties
DOS at the Fermi energy: 1.68 states/eV per cell
Total DFT energy (no corrections): -2674.01 eV/cell
Space-group type: P-3m1, No. 164

Cell: 4.4275 4.4275 89.2737 Å, 90.00 90.00 120.00°
Last column: nearest neighbours and their distance in Å.
Fractional coordinates of all 45 atoms:
1 Bi 0.0000 0.0000 0.0683  3 Bi 3.06
2 Bi 0.0000 0.0000 0.1332  6 Te 3.08-3.23
3 Bi 0.0000 0.0000 0.3351  3 Bi 3.06
4 Bi 0.0000 0.0000 0.4001  6 Te 3.08-3.23
5 Bi 0.0000 0.0000 0.5999  6 Te 3.08-3.23
6 Bi 0.0000 0.0000 0.6649  3 Bi 3.06
7 Bi 0.0000 0.0000 0.8668  6 Te 3.08-3.23
8 Bi 0.0000 0.0000 0.9317  3 Bi 3.06
9 Bi 0.3333 0.6667 0.0222  6 Te 3.08-3.23
10 Bi 0.3333 0.6667 0.0871  3 Bi 3.06
11 Bi 0.3333 0.6667 0.2888  6 Te 3.08-3.23
12 Bi 0.3333 0.6667 0.3539  3 Bi 3.06
13 Bi 0.3333 0.6667 0.4906  3 Bi 3.06
14 Bi 0.3333 0.6667 0.5556  6 Te 3.08-3.23
15 Bi 0.3333 0.6667 0.7556  6 Te 3.07-3.24
16 Bi 0.3333 0.6667 0.8223  6 Te 3.07-3.24
17 Bi 0.6667 0.3333 0.1777  6 Te 3.07-3.24
18 Bi 0.6667 0.3333 0.2444  6 Te 3.07-3.24
19 Bi 0.6667 0.3333 0.4444  6 Te 3.08-3.23
20 Bi 0.6667 0.3333 0.5094  3 Bi 3.06
21 Bi 0.6667 0.3333 0.6461  3 Bi 3.06
22 Bi 0.6667 0.3333 0.7112  6 Te 3.08-3.23
23 Bi 0.6667 0.3333 0.9129  3 Bi 3.06
24 Bi 0.6667 0.3333 0.9778  6 Te 3.08-3.23
25 Te 0.0000 0.0000 0.0000  6 Bi 3.23
26 Te 0.0000 0.0000 0.1967  3 Bi 3.07
27 Te 0.0000 0.0000 0.2668  6 Bi 3.23-3.24
28 Te 0.0000 0.0000 0.4636  3 Bi 3.08
29 Te 0.0000 0.0000 0.5364  3 Bi 3.08
30 Te 0.0000 0.0000 0.7332  6 Bi 3.23-3.24
31 Te 0.0000 0.0000 0.8033  3 Bi 3.07
32 Te 0.3333 0.6667 0.1553  6 Bi 3.23-3.24
33 Te 0.3333 0.6667 0.2254  3 Bi 3.07
34 Te 0.3333 0.6667 0.4223  6 Bi 3.23
35 Te 0.3333 0.6667 0.6191  3 Bi 3.08
36 Te 0.3333 0.6667 0.6919  3 Bi 3.08
37 Te 0.3333 0.6667 0.8860  3 Bi 3.08
38 Te 0.3333 0.6667 0.9586  3 Bi 3.08
39 Te 0.6667 0.3333 0.0414  3 Bi 3.08
40 Te 0.6667 0.3333 0.1140  3 Bi 3.08
41 Te 0.6667 0.3333 0.3081  3 Bi 3.08
42 Te 0.6667 0.3333 0.3809  3 Bi 3.08
43 Te 0.6667 0.3333 0.5777  6 Bi 3.23
44 Te 0.6667 0.3333 0.7746  3 Bi 3.07
45 Te 0.6667 0.3333 0.8447  6 Bi 3.23-3.24



Record 8
A PBEsol-optimized structure of TiBiTe2, computed with SCAN.

Properties
DOS at the Fermi energy: 13.73 states/eV per cell
Total DFT energy (no corrections): -676.90 eV/cell
Space-group type: I-42d, No. 122

Cell: 7.9334 7.9334 7.0547 Å, 90.00 90.00 90.00°
Last column: nearest neighbours and their distance in Å.
Fractional coordinates of all 16 atoms:
1 Ti 0.0000 0.0000 0.0000  4 Te 2.72
2 Ti 0.0000 0.5000 0.2500  4 Te 2.72
3 Ti 0.5000 0.0000 0.7500  4 Te 2.72
4 Ti 0.5000 0.5000 0.5000  4 Te 2.72
5 Bi 0.0000 0.0000 0.5000  4 Te 3.19, 2 Ti 3.53
6 Bi 0.0000 0.5000 0.7500  4 Te 3.19, 2 Ti 3.53
7 Bi 0.5000 0.0000 0.2500  4 Te 3.19, 2 Ti 3.53
8 Bi 0.5000 0.5000 0.0000  4 Te 3.19, 2 Ti 3.53
9 Te 0.2057 0.2500 0.1250  2 Ti 2.72
10 Te 0.2500 0.7057 0.3750  2 Ti 2.72
11 Te 0.2500 0.7943 0.8750  2 Ti 2.72
12 Te 0.2943 0.2500 0.6250  2 Ti 2.72
13 Te 0.7057 0.7500 0.6250  2 Ti 2.72
14 Te 0.7500 0.2057 0.8750  2 Ti 2.72
15 Te 0.7500 0.2943 0.3750  2 Ti 2.72
16 Te 0.7943 0.7500 0.1250  2 Ti 2.72



Table of total magnetic moment (μB per atom), in record order: 0.000 0.001 0.758 0.000 0.000 0.000 0.000 0.296